{"formula": "Rb3Bi2Pt3", "functional": "PBE", "state": "relaxed", "e_tot_ev_per_atom": -3.83, "lattice": [[3.0128, 1.7395, 7.5632], [-3.0128, 1.7395, 7.5632], [0.0000, -3.4789, 7.5632]], "species": ["Rb", "Rb", "Rb", "Bi", "Bi", "Pt", "Pt", "Pt"], "frac_coords": [[0.0000, 0.0000, 0.0000], [0.4236, 0.4236, 0.4236], [0.5764, 0.5764, 0.5764], [0.2602, 0.2602, 0.2602], [0.7398, 0.7398, 0.7398], [0.0000, 0.0000, 0.5000], [0.0000, 0.5000, 0.0000], [0.5000, 0.0000, 0.0000]]}